Density functional theory data (PBE) for La2PmPr3Sm6 after structural relaxation.

Computed properties:
Space-group type   No. 12
M_tot   0.00 μB/cell
Crystal system   monoclinic
E   -4.758 eV/atom
ΔH_f (0 K)   0.16 eV/f.u.

Lattice parameters (Å, degrees): 6.379 6.379 12.126 95.05 95.05 120.04
Sites, in units of the cell vectors:
Sm 0.416 0.083 0.250
La 0.667 0.333 0.000
La 0.333 0.667 0.000
Pm 0.000 0.000 0.000
Sm 0.917 0.584 0.750
Sm 0.249 0.249 0.750
Pr 0.500 0.500 0.500
Sm 0.751 0.751 0.250
Sm 0.584 0.917 0.750
Sm 0.083 0.416 0.250
Pr 0.167 0.833 0.500
Pr 0.833 0.167 0.500